Material: ZnCdIn
Method: DFT, PBE
State: relaxed

total moment: 0.0 μB per cell
final energy: -1.5481 eV per atom
calculated density: 7.5 g/cm³
space-group type: Imm2 (44)

Cell and atoms, written as POSCAR:
```
ZnCdIn
1.0
-1.565 2.156 4.812
1.565 -2.156 4.812
1.565 2.156 -4.812
Zn Cd In
1 1 1
direct
0.000 0.000 0.000
0.345 0.345 0.000
0.665 0.665 0.000
```

***

Material: ZnCd2In
Method: DFT, PBE
State: relaxed

distance to the lowest polymorph of the same formula: 0.0313 eV per atom
total moment: 0.0 μB per cell
calculated density: 7.7 g/cm³
space-group type: P4/mmm (123)

Cell and atoms, written as POSCAR:
```
ZnCd2In
1.0
4.431 0.000 0.000
0.000 4.431 0.000
0.000 0.000 4.440
Zn Cd In
1 2 1
direct
0.000 0.000 0.000
0.000 0.500 0.500
0.500 0.000 0.500
0.500 0.500 0.000
```

***

- total moment of number 1 (ZnCdIn)?
  0.0 μB per cell

***

- calculated density of number 1 (ZnCdIn)?
  7.5 g/cm³

***

- Which value of total moment does entry 1 give?
  0.0 μB per cell

***

- Which formula does entry 2 have?
  ZnCd2In